Record 1
Computed, not measured: an optimized crystal structure of La2BrCl at the PBE level of DFT.

```
8
Lattice="6.758 0.000 0.000 0.000 6.758 0.000 3.379 3.379 6.730" Properties=species:S:1:pos:R:3 pbc="T T T"
Cl 3.379 3.379 0.000
La 8.448 8.326 5.048
La 4.947 1.690 1.683
Br 0.000 0.000 0.000
Cl 3.379 6.758 3.365
La 1.811 5.069 1.683
La 5.069 5.190 5.048
Br 6.758 3.379 3.365
```

Calculated values
Distance to the lowest polymorph of the same formula   162 kJ/mol of formula units
Space group   I-42d, No. 122
Energy   -34.764 eV/cell

=====

Record 2
Computed, not measured: an optimized crystal structure of Cs12NaHg7 at the PBE level of DFT.

```
20
Lattice="12.146 -0.500 -0.751 -3.858 11.527 -0.751 -3.858 -5.133 10.349" Properties=species:S:1:pos:R:3 pbc="T T T"
Cs 1.932 3.916 0.631
Hg 5.266 10.636 -0.510
Cs -2.251 6.158 2.012
Cs 6.541 2.030 0.360
Cs -1.427 1.598 3.857
Cs -2.112 3.863 8.487
Hg -5.851 3.788 9.619
Hg 10.281 2.106 -0.773
Cs 3.225 -0.552 2.960
Cs 4.298 8.200 2.388
Hg 2.215 2.947 4.423
Cs 6.681 -0.264 6.834
Cs 2.498 1.977 8.216
Hg -4.323 9.452 1.645
Na 0.000 0.000 0.000
Cs 5.857 4.296 4.989
Cs 0.131 -2.306 6.458
Cs 1.205 6.446 5.886
Hg 8.753 -3.558 7.201
Hg -0.836 -4.742 9.356
```

Calculated values
Space group   R-3, No. 148
Energy   -17.235 eV/cell
Energy of formation from the pure elements   -3.6 eV/f.u.

=====

The highest energy belongs to which entry? Cs12NaHg7

=====

Among the records above, which one has the highest energy? Cs12NaHg7

=====

Which value of energy does entry 2 give? -17.235 eV/cell

=====

The lowest energy belongs to which entry? La2BrCl